Entry 1:
This record from Alexandria via LeMat-Bulk describes a relaxed structure of Li2TcBiN. The functional is PBE.

Results
uncorrected formation energy: 152.4 kJ/mol of atoms
offset from the most stable computed form: 1823.0 meV/atom

Cell and atoms, written as POSCAR:
```
Li2TcBiN
1.0
5.0699 0.0000 0.0000
0.0000 5.0699 0.0000
0.0000 0.0000 5.1747
Li Tc Bi N
2 1 1 1
Direct
0.0000 0.5000 0.0000
0.5000 0.0000 0.0000
0.0000 0.0000 0.0000
0.0000 0.0000 0.5000
0.5000 0.5000 0.5000
```

Entry 2:
This record from Alexandria via LeMat-Bulk describes a relaxed structure of LiThBi2N. The functional is PBE.

Results
uncorrected formation energy: -73.6 kJ/mol of atoms

Cell and atoms, written as POSCAR:
```
LiThBi2N
1.0
4.0276 0.0000 0.0000
0.0000 4.0276 0.0000
0.0000 0.0000 17.1526
Li Th Bi N
2 2 4 2
Direct
0.2500 0.2500 0.1284
0.7500 0.7500 0.8716
0.2500 0.2500 0.5683
0.7500 0.7500 0.4317
0.2500 0.2500 0.2893
0.2500 0.2500 0.9547
0.7500 0.7500 0.0453
0.7500 0.7500 0.7107
0.2500 0.7500 0.5000
0.7500 0.2500 0.5000
```

Entry 3:
This record from Alexandria via LeMat-Bulk describes a relaxed structure of LiTlBiN2. The functional is PBE.

Results
uncorrected formation energy: 141.0 kJ/mol of atoms

Cell and atoms, written as POSCAR:
```
LiTlBiN2
1.0
4.3342 0.0000 0.0000
0.0000 4.3342 0.0000
0.0000 0.0000 4.5212
Li Tl Bi N
1 1 1 2
Direct
0.0000 0.0000 0.0000
0.0000 0.0000 0.5000
0.5000 0.5000 0.5000
0.0000 0.5000 0.0000
0.5000 0.0000 0.0000
```

Entry 4:
This record from Alexandria via LeMat-Bulk describes a relaxed structure of LiY2BiN. The functional is PBE.

Results
uncorrected formation energy: -94.6 kJ/mol of atoms

Cell and atoms, written as POSCAR:
```
LiY2BiN
1.0
4.8037 0.0000 0.0000
0.0000 4.8037 0.0000
0.0000 0.0000 4.4485
Li Y Bi N
1 2 1 1
Direct
0.0000 0.0000 0.0000
0.0000 0.5000 0.5000
0.5000 0.0000 0.5000
0.5000 0.5000 0.0000
0.0000 0.0000 0.5000
```

Entry 5:
This record from Alexandria via LeMat-Bulk describes a relaxed structure of Na4LiBi5. The functional is PBE.

Results
formation energy: -3.18 eV per formula unit

Cell and atoms, written as POSCAR:
```
Na4LiBi5
1.0
3.4456 0.0000 0.0000
0.0000 3.4456 0.0000
0.0000 0.0000 23.5658
Na Li Bi
4 1 5
Direct
0.0000 0.0000 0.1035
0.0000 0.0000 0.3096
0.0000 0.0000 0.6904
0.0000 0.0000 0.8965
0.0000 0.0000 0.5000
0.5000 0.5000 0.0000
0.5000 0.5000 0.2069
0.5000 0.5000 0.4157
0.5000 0.5000 0.5843
0.5000 0.5000 0.7931
```

Entry 6:
This record from Alexandria via LeMat-Bulk describes a relaxed structure of Na6LiBi2. The functional is PBE.

Results
formation energy: -2.71 eV per formula unit

Cell and atoms, written as POSCAR:
```
Na6LiBi2
1.0
2.7515 1.5886 10.5385
-2.7515 1.5886 10.5385
0.0000 -3.1771 10.5385
Na Li Bi
6 1 2
Direct
0.0798 0.0798 0.0798
0.2048 0.2048 0.2048
0.3083 0.3083 0.3083
0.6917 0.6917 0.6917
0.7952 0.7952 0.7952
0.9202 0.9202 0.9202
0.5000 0.5000 0.5000
0.4106 0.4106 0.4106
0.5894 0.5894 0.5894
```

Entry 7:
This record from Alexandria via LeMat-Bulk describes a relaxed structure of Na2LiBi2. The functional is PBE.

Results
formation energy: -0.91 eV per formula unit
offset from the most stable computed form: 150.6 meV/atom

Cell and atoms, written as POSCAR:
```
Na2LiBi2
1.0
9.3168 0.0000 0.0000
0.0000 9.3168 0.0000
0.0000 0.0000 3.3547
Na Li Bi
4 2 4
Direct
0.1174 0.3826 0.0000
0.3826 0.8826 0.0000
0.6174 0.1174 0.0000
0.8826 0.6174 0.0000
0.0000 0.0000 0.0000
0.5000 0.5000 0.0000
0.1819 0.6819 0.5000
0.3181 0.1819 0.5000
0.6819 0.8181 0.5000
0.8181 0.3181 0.5000
```

Entry 8:
This record from Alexandria via LeMat-Bulk describes a relaxed structure of Na2Li4Bi5. The functional is PBE.

Results
formation energy: -3.61 eV per formula unit

Cell and atoms, written as POSCAR:
```
Na2Li4Bi5
1.0
6.7158 -3.2096 0.0000
6.7158 3.2096 0.0000
-6.4443 0.0000 6.8327
Na Li Bi
2 4 5
Direct
0.0054 0.0054 0.2068
0.9946 0.9946 0.7932
0.3207 0.3207 0.0581
0.3289 0.3289 0.5903
0.6711 0.6711 0.4097
0.6793 0.6793 0.9419
0.0675 0.5722 0.3193
0.4278 0.9325 0.6807
0.5000 0.5000 0.0000
0.5722 0.0675 0.3193
0.9325 0.4278 0.6807
```

Entry 9:
This record from Alexandria via LeMat-Bulk describes a relaxed structure of NaLi8Bi2. The functional is PBE.

Results
formation energy: -3.40 eV per formula unit

Cell and atoms, written as POSCAR:
```
NaLi8Bi2
1.0
7.4310 -2.4079 0.0000
7.4310 2.4079 0.0000
-4.1253 0.0000 6.7394
Na Li Bi
1 8 2
Direct
0.0000 0.0000 0.0000
0.1365 0.1365 0.8139
0.1822 0.1822 0.4884
0.3448 0.3448 0.9183
0.4799 0.4799 0.6587
0.5201 0.5201 0.3413
0.6552 0.6552 0.0817
0.8178 0.8178 0.5116
0.8635 0.8635 0.1861
0.2927 0.2927 0.2695
0.7073 0.7073 0.7305
```

Entry 10:
This record from Alexandria via LeMat-Bulk describes a relaxed structure of Na3Li2Bi4. The functional is PBE.

Results
formation energy: -2.65 eV per formula unit

Cell and atoms, written as POSCAR:
```
Na3Li2Bi4
1.0
5.0839 -2.3867 0.0000
5.0839 2.3867 0.0000
-3.2743 0.0000 10.1906
Na Li Bi
3 2 4
Direct
0.0000 0.0000 0.0000
0.3263 0.3263 0.4318
0.6737 0.6737 0.5682
0.3293 0.3293 0.8007
0.6707 0.6707 0.1993
0.0069 0.0069 0.6619
0.3374 0.3374 0.1125
0.6626 0.6626 0.8875
0.9931 0.9931 0.3381
```

What total energy values result from the calculations? In sequence: -18.5; -29.2; -17.5; -31.9; -29.8; -20.3; -13.2; -33.3; -27.8; -26.0 eV per formula unit.